NaAc4Fe3O12 | PBE+U | optimized geometry

Output
DOS at the Fermi energy   6.59 states/eV per cell
Total magnetic moment   10.997 μB/f.u.
Total energy   -6.821 eV per atom

Geometry as POSCAR:
```
NaAc4Fe3O12
1.0
-4.3642 4.3642 4.3642
4.3642 -4.3642 4.3642
4.3642 4.3642 -4.3642
Na Ac Fe O
1 4 3 12
direct
0.0000 0.0000 0.0000 Na
0.0000 0.0000 0.5000 Ac
0.0000 0.5000 0.0000 Ac
0.5000 0.0000 0.0000 Ac
0.5000 0.5000 0.5000 Ac
0.0000 0.5000 0.5000 Fe
0.5000 0.0000 0.5000 Fe
0.5000 0.5000 0.0000 Fe
0.1467 0.4907 0.3440 O
0.1467 0.8028 0.6560 O
0.1972 0.3440 0.8533 O
0.3440 0.1467 0.4907 O
0.3440 0.8533 0.1972 O
0.4907 0.3440 0.1467 O
0.5093 0.6560 0.8533 O
0.6560 0.1467 0.8028 O
0.6560 0.8533 0.5093 O
0.8028 0.6560 0.1467 O
0.8533 0.1972 0.3440 O
0.8533 0.5093 0.6560 O
```